## Sm12RuRh6 (PBE)

Data for an optimized crystal structure of Sm12RuRh6.

The space group is R-3 (No. 148, hexagonal axes) and the conventional cell measures 12.6174, 12.6174 and 11.7081 Å, with angles of 90.00, 90.00 and 120.00 degrees. The asymmetric unit holds Sm at (0.0249, 0.2145, 0.3911), Sm at (0.0382, 0.2021, 0.8801), Ru at (0.0000, 0.0000, 0.0000) and Rh at (0.0433, 0.2634, 0.6446).

For the total moment, the calculation gives 0.00 μB/cell. The value obtained for the total DFT energy (no corrections) is -6.297 eV/atom. The value obtained for the formation energy from the elements is -0.507 eV/atom. For the density of states at the Fermi level, the calculation gives 6.5 states/eV/f.u.

## Li2FeAs2 (PBE)

Data for an optimized crystal structure of Li2FeAs2.

The space group is P4/mbm (No. 127) and the conventional cell measures 6.1093, 6.1093 and 4.1476 Å, with angles of 90.00, 90.00 and 90.00 degrees. The asymmetric unit holds Li at (0.1694, 0.3306, 0.0000), Fe at (0.0000, 0.0000, 0.5000) and As at (0.1459, 0.6459, 0.5000).

For the total moment, the calculation gives 2.66 μB/cell. The value obtained for the total DFT energy (no corrections) is -4.728 eV/atom. The value obtained for the formation energy from the elements is -0.410 eV/atom. For the density of states at the Fermi level, the calculation gives 2.0 states/eV/f.u. The calculation puts the relative energy among the computed polymorphs at 0.000 eV per atom.

## ScV2Fe2 (PBE)

Data for an optimized crystal structure of ScV2Fe2.

The space group is P4/mbm (No. 127) and the conventional cell measures 7.1055, 7.1055 and 2.6819 Å, with angles of 90.00, 90.00 and 90.00 degrees. The asymmetric unit holds Sc at (0.0000, 0.0000, 0.0000), V at (0.1455, 0.3545, 0.0000) and Fe at (0.1457, 0.6457, 0.5000).

For the total moment, the calculation gives 0.00 μB/cell. The value obtained for the total DFT energy (no corrections) is -8.264 eV/atom. The value obtained for the formation energy from the elements is 0.034 eV/atom. For the density of states at the Fermi level, the calculation gives 5.1 states/eV/f.u. The calculation puts the relative energy among the computed polymorphs at 0.138 eV per atom.

## SrMgSF2 (PBE)

Data for an optimized crystal structure of SrMgSF2.

The space group is P4mm (No. 99) and the conventional cell measures 3.9700, 3.9700 and 5.7065 Å, with angles of 90.00, 90.00 and 90.00 degrees. The asymmetric unit holds Sr at (0.0000, 0.0000, 0.0000), Mg at (0.5000, 0.5000, 0.4085), S at (0.5000, 0.5000, 0.8315) and F at (0.0000, 0.5000, 0.3120).

The formation energy from raw total energies is -2.9265 eV/atom. For the total moment, the calculation gives 0.00 μB/cell. The value obtained for the total DFT energy (no corrections) is -5.156 eV/atom. For the density of states at the Fermi level, the calculation gives 0.0 states/eV/f.u.

## NbHgP3 (PBE)

Data for an optimized crystal structure of NbHgP3.

The space group is Pm-3m (No. 221) and the conventional cell measures 4.8569, 4.8569 and 4.8569 Å, with angles of 90.00, 90.00 and 90.00 degrees. The asymmetric unit holds Nb at (0.0000, 0.0000, 0.0000), Hg at (0.5000, 0.5000, 0.5000) and P at (0.0000, 0.0000, 0.5000).

For the total moment, the calculation gives 0.00 μB/cell. The value obtained for the total DFT energy (no corrections) is -4.938 eV/atom. The value obtained for the formation energy from the elements is 0.382 eV/atom. For the density of states at the Fermi level, the calculation gives 3.6 states/eV/f.u. The calculation puts the relative energy among the computed polymorphs at 0.000 eV per atom.

## PmSm2Cd8 (PBE)

Data for an optimized crystal structure of PmSm2Cd8.

The space group is C2/m (No. 12) and the conventional cell measures 16.7739, 5.1838 and 7.1910 Å, with angles of 90.00, 115.27 and 90.00 degrees. The asymmetric unit holds Pm at (0.0000, 0.0000, 0.0000), Sm at (0.1898, 0.5000, 0.6893), Cd at (0.0000, 0.5000, 0.2888), Cd at (0.1492, 0.0000, 0.4336), Cd at (0.1500, 0.0000, 0.8661) and Cd at (0.1586, 0.5000, 0.1583).

For the total moment, the calculation gives 0.00 μB/cell. The value obtained for the total DFT energy (no corrections) is -2.164 eV/atom. The value obtained for the formation energy from the elements is -0.208 eV/atom. For the density of states at the Fermi level, the calculation gives 6.1 states/eV/f.u.